(1)
A relaxed structure of Pm4Be2Si5. Source: the Alexandria database, functional PBE.

Cell and atoms, written as CIF:
```
data_Pm4Be2Si5
_space_group_name_H-M_alt 'P 1 2/m 1'
_space_group_IT_number 10
_space_group_name_Hall '-P 2y'
_cell_length_a 6.821
_cell_length_b 4.270
_cell_length_c 7.701
_cell_angle_alpha 90.00
_cell_angle_beta 92.05
_cell_angle_gamma 90.00
loop_
_atom_site_label
_atom_site_type_symbol
_atom_site_fract_x
_atom_site_fract_y
_atom_site_fract_z
_atom_site_occupancy
Pm1 Pm 0.231 0.000 0.135 1
Pm2 Pm 0.263 0.000 0.633 1
Be1 Be 0.076 0.500 0.382 1
Si1 Si 0.098 0.500 0.873 1
Si2 Si 0.405 0.500 0.366 1
Si3 Si 0.500 0.500 0.000 1
```

Output
Volume (Å³ per atom): 20.4
Formation energy from raw total energies (meV per atom): -544.6


(2)
A relaxed structure of GdLuMnRh. Source: the Alexandria database, functional PBE.

Cell and atoms, written as CIF:
```
data_GdLuMnRh
_space_group_name_H-M_alt 'F -4 3 m'
_space_group_IT_number 216
_space_group_name_Hall 'F -4 2 3'
_cell_length_a 6.900
_cell_length_b 6.900
_cell_length_c 6.900
_cell_angle_alpha 90.00
_cell_angle_beta 90.00
_cell_angle_gamma 90.00
loop_
_atom_site_label
_atom_site_type_symbol
_atom_site_fract_x
_atom_site_fract_y
_atom_site_fract_z
_atom_site_occupancy
Gd1 Gd 0.000 0.000 0.000 1
Lu1 Lu 0.000 0.000 0.500 1
Mn1 Mn 0.250 0.250 0.750 1
Rh1 Rh 0.250 0.250 0.250 1
```

Output
Volume (Å³ per atom): 20.5
Calculated total energy (eV per formula unit): -36.3


(3)
A relaxed structure of V7Si4H. Source: the Alexandria database, functional PBE.

Cell and atoms, written as CIF:
```
data_V7Si4H
_space_group_name_H-M_alt 'C 1 2/m 1'
_space_group_IT_number 12
_space_group_name_Hall '-C 2y'
_cell_length_a 12.476
_cell_length_b 3.990
_cell_length_c 8.482
_cell_angle_alpha 90.00
_cell_angle_beta 130.05
_cell_angle_gamma 90.00
loop_
_atom_site_label
_atom_site_type_symbol
_atom_site_fract_x
_atom_site_fract_y
_atom_site_fract_z
_atom_site_occupancy
V1 V 0.000 0.000 0.000 1
V2 V 0.046 0.500 0.841 1
V3 V 0.095 0.000 0.698 1
V4 V 0.130 0.500 0.556 1
Si1 Si 0.142 0.000 0.392 1
Si2 Si 0.224 0.000 0.075 1
H1 H 0.000 0.500 0.000 1
```

Output
Volume (Å³ per atom): 13.5
Calculated total energy (eV per formula unit): -90.5